1.
A plane-wave DFT calculation with GGA-PBE was carried out for an optimized crystal structure of AcPm7Rh2.

a = 8.8062 Å, b = 14.6728 Å, c = 5.5162 Å
α = 90.00°, β = 90.00°, γ = 90.00°
Closest atoms and distances in Å follow each position.
Space group Cmmm (No. 65)
Unique sites:
1 Ac 0.0000 0.0000 0.0000 (multiplicity 2)  8 Pm 3.79
2 Pm 0.0000 0.2940 0.0000 (multiplicity 4)  2 Rh 2.76
3 Pm 0.0000 0.5000 0.5000 (multiplicity 2)  2 Rh 2.97
4 Pm 0.1937 0.1337 0.5000 (multiplicity 8)  2 Rh 2.88-2.95
5 Rh 0.0000 0.2973 0.5000 (multiplicity 4)  7 Pm 2.76-2.97

Summary:
The calculation puts the total energy at -5.33 eV per atom.

---

2.
A plane-wave DFT calculation with GGA-PBE was carried out for an optimized crystal structure of AcPmRh.

a = 6.5958 Å, b = 4.2312 Å, c = 7.3527 Å
α = 90.00°, β = 91.24°, γ = 90.00°
Closest atoms and distances in Å follow each position.
Space group P2_1/m (No. 11)
Unique sites:
1 Ac 0.2383 0.2500 0.0986 (multiplicity 2)  3 Rh 2.94-2.96
2 Pm 0.2298 0.7500 0.5773 (multiplicity 2)  3 Rh 2.84
3 Rh 0.0148 0.2500 0.7455 (multiplicity 2)  3 Pm 2.84, 3 Ac 2.94-2.96

Summary:
The calculation puts the total energy at -5.91 eV per atom.

---

3.
A plane-wave DFT calculation with GGA-PBE was carried out for an optimized crystal structure of AcPmRh.

a = 6.8042 Å, b = 7.2775 Å, c = 10.3103 Å
α = 90.00°, β = 128.14°, γ = 90.00°
Closest atoms and distances in Å follow each position.
Space group P2_1/c (No. 14)
Unique sites:
1 Ac 0.1434 0.0834 0.3830 (multiplicity 4)  3 Rh 2.97-2.99
2 Pm 0.3754 0.5795 0.6171 (multiplicity 4)  3 Rh 2.86
3 Rh 0.3632 0.7424 0.3597 (multiplicity 4)  3 Pm 2.86, 3 Ac 2.97-2.99

Summary:
The calculation puts the total energy at -5.91 eV per atom.

---

4.
A plane-wave DFT calculation with GGA-PBE was carried out for an optimized crystal structure of Ac5Pm2Rh4.

a = 4.1837 Å, b = 6.8657 Å, c = 12.9351 Å
α = 99.51°, β = 99.22°, γ = 90.16°
Closest atoms and distances in Å follow each position.
Space group P-1 (No. 2)
Unique sites:
1 Ac 0.0000 0.0000 0.0000 (multiplicity 1)  4 Rh 2.99
2 Ac 0.2764 0.2855 0.5556 (multiplicity 2)  3 Rh 2.94-2.98
3 Ac 0.3723 0.8362 0.7431 (multiplicity 2)  3 Rh 2.93-3.15
4 Pm 0.0728 0.5663 0.1433 (multiplicity 2)  3 Rh 2.90-2.93
5 Rh 0.1756 0.4384 0.3507 (multiplicity 2)  1 Pm 2.93, 5 Ac 2.93-2.98
6 Rh 0.4805 0.6852 0.9631 (multiplicity 2)  1 Rh 2.86, 2 Pm 2.90, 3 Ac 2.99-3.15

Summary:
The calculation puts the total energy at -5.95 eV per atom.

---

no.,theoretical density (g/cm3),E_form (eV/atom),magnetic moment (Bohr magnetons per cell)
1,6.75,-0.12,0.0
2,7.69,-0.50,0.0
3,7.86,-0.51,0.0
4,8.44,-0.55,0.0